# YZnSnHg, optimized geometry, DFT PBE-GGA
data_YZnSnHg
_chemical_formula_sum 'Y1 Zn1 Sn1 Hg1'
_space_group_name_H-M_alt 'P 1'
_space_group_IT_number 1
_cell_length_a 5.108
_cell_length_b 5.108
_cell_length_c 5.108
_cell_angle_alpha 60.00
_cell_angle_beta 60.00
_cell_angle_gamma 60.00
loop_
_space_group_symop_operation_xyz
'x,y,z'
loop_
_atom_site_label
_atom_site_fract_x
_atom_site_fract_y
_atom_site_fract_z
Hg1 0.500 0.500 0.500
Y1 0.750 0.750 0.750
Zn1 0.000 0.000 0.000
Sn1 0.250 0.250 0.250
# Space-group type: F-43m, No. 216
# Total energy in eV/cell: -12.91
# Spin magnetization in μB per cell: 0.000
# E_form in eV per atom: -0.216

# YZrSnHg, optimized geometry, DFT PBE-GGA
data_YZrSnHg
_chemical_formula_sum 'Y1 Zr1 Sn1 Hg1'
_space_group_name_H-M_alt 'P 1'
_space_group_IT_number 1
_cell_length_a 5.147
_cell_length_b 5.147
_cell_length_c 5.147
_cell_angle_alpha 60.00
_cell_angle_beta 60.00
_cell_angle_gamma 60.00
loop_
_space_group_symop_operation_xyz
'x,y,z'
loop_
_atom_site_label
_atom_site_fract_x
_atom_site_fract_y
_atom_site_fract_z
Hg1 0.500 0.500 0.500
Zr1 0.750 0.750 0.750
Y1 0.250 0.250 0.250
Sn1 0.000 0.000 0.000
# Space-group type: F-43m, No. 216
# Total energy in eV/cell: -20.76
# Spin magnetization in μB per cell: 0.398
# E_form in eV per atom: -0.360

# Zn3SnHg3, optimized geometry, DFT PBE-GGA
data_Zn3SnHg3
_chemical_formula_sum 'Zn6 Sn2 Hg6'
_space_group_name_H-M_alt 'P 1'
_space_group_IT_number 1
_cell_length_a 7.412
_cell_length_b 7.412
_cell_length_c 7.412
_cell_angle_alpha 90.00
_cell_angle_beta 90.00
_cell_angle_gamma 90.00
loop_
_space_group_symop_operation_xyz
'x,y,z'
loop_
_atom_site_label
_atom_site_fract_x
_atom_site_fract_y
_atom_site_fract_z
Hg1 0.750 0.000 0.500
Hg2 0.000 0.500 0.750
Zn1 0.000 0.250 0.500
Sn1 0.500 0.500 0.500
Zn2 0.500 0.000 0.750
Zn3 0.000 0.750 0.500
Hg3 0.500 0.250 0.000
Hg4 0.500 0.750 0.000
Zn4 0.750 0.500 0.000
Hg5 0.250 0.000 0.500
Sn2 0.000 0.000 0.000
Zn5 0.250 0.500 0.000
Hg6 0.000 0.500 0.250
Zn6 0.500 0.000 0.250
# Space-group type: Pm-3n, No. 223
# Total energy in eV/cell: -11.71
# Spin magnetization in μB per cell: 0.000
# E_form in eV per atom: 0.411

# ZnSn2Hg2, optimized geometry, DFT PBE-GGA
data_ZnSn2Hg2
_chemical_formula_sum 'Zn2 Sn4 Hg4'
_space_group_name_H-M_alt 'P 1'
_space_group_IT_number 1
_cell_length_a 7.186
_cell_length_b 7.186
_cell_length_c 5.141
_cell_angle_alpha 90.00
_cell_angle_beta 90.00
_cell_angle_gamma 90.00
loop_
_space_group_symop_operation_xyz
'x,y,z'
loop_
_atom_site_label
_atom_site_fract_x
_atom_site_fract_y
_atom_site_fract_z
Hg1 0.667 0.833 0.500
Sn1 0.150 0.350 0.000
Sn2 0.650 0.150 0.000
Hg2 0.333 0.167 0.500
Sn3 0.350 0.850 0.000
Hg3 0.167 0.667 0.500
Zn1 0.000 0.000 0.000
Sn4 0.850 0.650 0.000
Zn2 0.500 0.500 0.000
Hg4 0.833 0.333 0.500
# Space-group type: P4/mbm, No. 127
# Total energy in eV/cell: -18.50
# Spin magnetization in μB per cell: 0.000
# E_form in eV per atom: 0.126

# ZnSnHg, optimized geometry, DFT PBE-GGA
data_ZnSnHg
_chemical_formula_sum 'Zn1 Sn1 Hg1'
_space_group_name_H-M_alt 'P 1'
_space_group_IT_number 1
_cell_length_a 3.550
_cell_length_b 3.550
_cell_length_c 6.396
_cell_angle_alpha 90.00
_cell_angle_beta 90.00
_cell_angle_gamma 120.00
loop_
_space_group_symop_operation_xyz
'x,y,z'
loop_
_atom_site_label
_atom_site_fract_x
_atom_site_fract_y
_atom_site_fract_z
Hg1 0.333 0.667 0.641
Zn1 0.667 0.333 0.339
Sn1 0.000 0.000 0.020
# Space-group type: P3m1, No. 156
# Total energy in eV/cell: -5.29
# Spin magnetization in μB per cell: 0.000
# E_form in eV per atom: 0.096

# ZnSnHg, optimized geometry, DFT PBE-GGA
data_ZnSnHg
_chemical_formula_sum 'Zn2 Sn2 Hg2'
_space_group_name_H-M_alt 'P 1'
_space_group_IT_number 1
_cell_length_a 4.096
_cell_length_b 5.656
_cell_length_c 6.582
_cell_angle_alpha 104.34
_cell_angle_beta 108.13
_cell_angle_gamma 90.00
loop_
_space_group_symop_operation_xyz
'x,y,z'
loop_
_atom_site_label
_atom_site_fract_x
_atom_site_fract_y
_atom_site_fract_z
Hg1 0.554 0.777 0.108
Hg2 0.446 0.223 0.892
Sn1 0.856 0.675 0.711
Sn2 0.144 0.325 0.289
Zn1 0.220 0.848 0.441
Zn2 0.780 0.152 0.559
# Space-group type: C2/m, No. 12
# Total energy in eV/cell: -10.71
# Spin magnetization in μB per cell: 0.000
# E_form in eV per atom: 0.075

# Zn3Sn5Hg12, optimized geometry, DFT PBE-GGA
data_Zn3Sn5Hg12
_chemical_formula_sum 'Zn12 Sn20 Hg48'
_space_group_name_H-M_alt 'P 1'
_space_group_IT_number 1
_cell_length_a 14.477
_cell_length_b 14.477
_cell_length_c 14.477
_cell_angle_alpha 109.47
_cell_angle_beta 109.47
_cell_angle_gamma 109.47
loop_
_space_group_symop_operation_xyz
'x,y,z'
loop_
_atom_site_label
_atom_site_fract_x
_atom_site_fract_y
_atom_site_fract_z
Sn1 0.125 0.750 0.375
Hg1 0.741 0.131 0.069
Sn2 0.000 0.000 0.500
Hg2 0.431 0.672 0.061
Zn1 0.375 0.625 0.250
Hg3 0.569 0.241 0.131
Hg4 0.610 0.741 0.672
Zn2 0.250 0.625 0.875
Zn3 0.750 0.875 0.625
Sn3 0.250 0.375 0.625
Hg5 0.369 0.931 0.759
Hg6 0.561 0.631 0.390
Hg7 0.631 0.069 0.241
Hg8 0.672 0.241 0.610
Zn4 0.875 0.125 0.250
Sn4 0.000 0.000 0.000
Zn5 0.875 0.750 0.125
Hg9 0.869 0.610 0.939
Hg10 0.328 0.569 0.439
Hg11 0.390 0.259 0.328
Hg12 0.890 0.828 0.759
Hg13 0.631 0.561 0.890
Hg14 0.931 0.369 0.259
Zn6 0.375 0.750 0.625
Sn5 0.750 0.625 0.375
Hg15 0.939 0.828 0.569
Zn7 0.250 0.125 0.375
Hg16 0.931 0.561 0.172
Sn6 0.625 0.750 0.875
Hg17 0.259 0.390 0.828
Hg18 0.431 0.759 0.869
Hg19 0.172 0.110 0.741
Sn7 0.500 0.500 0.000
Hg20 0.390 0.131 0.561
Hg21 0.110 0.172 0.241
Hg22 0.890 0.061 0.631
Sn8 0.500 0.500 0.500
Sn9 0.250 0.875 0.125
Hg23 0.439 0.369 0.610
Sn10 0.875 0.250 0.625
Hg24 0.569 0.328 0.939
Hg25 0.328 0.759 0.390
Zn8 0.125 0.875 0.750
Hg26 0.828 0.890 0.259
Hg27 0.561 0.931 0.672
Hg28 0.672 0.431 0.561
Sn11 0.375 0.250 0.125
Hg29 0.828 0.939 0.069
Hg30 0.610 0.869 0.439
Sn12 0.375 0.125 0.750
Hg31 0.241 0.569 0.631
Sn13 0.750 0.125 0.875
Sn14 0.500 0.000 0.000
Hg32 0.369 0.439 0.110
Zn9 0.125 0.250 0.875
Sn15 0.625 0.875 0.250
Hg33 0.110 0.939 0.369
Hg34 0.439 0.069 0.328
Sn16 0.125 0.375 0.250
Hg35 0.069 0.439 0.828
Hg36 0.061 0.172 0.431
Zn10 0.750 0.375 0.125
Hg37 0.069 0.631 0.741
Hg38 0.259 0.869 0.931
Sn17 0.875 0.625 0.750
Hg39 0.759 0.328 0.890
Hg40 0.241 0.672 0.110
Hg41 0.939 0.110 0.869
Hg42 0.759 0.431 0.369
Zn11 0.625 0.250 0.375
Sn18 0.500 0.000 0.500
Hg43 0.131 0.390 0.061
Hg44 0.869 0.259 0.431
Hg45 0.131 0.741 0.569
Hg46 0.741 0.610 0.172
Hg47 0.172 0.061 0.931
Zn12 0.625 0.375 0.750
Hg48 0.061 0.890 0.131
Sn19 0.000 0.500 0.500
Sn20 0.000 0.500 0.000
# Space-group type: Ia-3d, No. 230
# Total energy in eV/cell: -95.45
# Spin magnetization in μB per cell: 0.000
# E_form in eV per atom: 0.180

# ZnSn2Hg2, optimized geometry, DFT PBE-GGA
data_ZnSn2Hg2
_chemical_formula_sum 'Zn1 Sn2 Hg2'
_space_group_name_H-M_alt 'P 1'
_space_group_IT_number 1
_cell_length_a 4.262
_cell_length_b 4.262
_cell_length_c 8.293
_cell_angle_alpha 75.11
_cell_angle_beta 75.11
_cell_angle_gamma 90.00
loop_
_space_group_symop_operation_xyz
'x,y,z'
loop_
_atom_site_label
_atom_site_fract_x
_atom_site_fract_y
_atom_site_fract_z
Zn1 0.000 0.000 0.000
Hg1 0.592 0.592 0.816
Sn1 0.250 0.750 0.500
Hg2 0.408 0.408 0.184
Sn2 0.750 0.250 0.500
# Space-group type: I4/mmm, No. 139
# Total energy in eV/cell: -8.75
# Spin magnetization in μB per cell: 0.000
# E_form in eV per atom: 0.226

# Zn2SnHg, optimized geometry, DFT PBE-GGA
data_Zn2SnHg
_chemical_formula_sum 'Zn2 Sn1 Hg1'
_space_group_name_H-M_alt 'P 1'
_space_group_IT_number 1
_cell_length_a 3.919
_cell_length_b 3.919
_cell_length_c 7.187
_cell_angle_alpha 74.18
_cell_angle_beta 74.18
_cell_angle_gamma 60.00
loop_
_space_group_symop_operation_xyz
'x,y,z'
loop_
_atom_site_label
_atom_site_fract_x
_atom_site_fract_y
_atom_site_fract_z
Hg1 0.500 0.500 0.500
Zn1 0.248 0.248 0.255
Sn1 0.000 0.000 0.000
Zn2 0.752 0.752 0.745
# Space-group type: R-3m, No. 166
# Total energy in eV/cell: -6.28
# Spin magnetization in μB per cell: 0.000
# E_form in eV per atom: 0.143

# ZnSn2Hg2, optimized geometry, DFT PBE-GGA
data_ZnSn2Hg2
_chemical_formula_sum 'Zn1 Sn2 Hg2'
_space_group_name_H-M_alt 'P 1'
_space_group_IT_number 1
_cell_length_a 4.257
_cell_length_b 4.257
_cell_length_c 8.081
_cell_angle_alpha 74.73
_cell_angle_beta 74.73
_cell_angle_gamma 90.00
loop_
_space_group_symop_operation_xyz
'x,y,z'
loop_
_atom_site_label
_atom_site_fract_x
_atom_site_fract_y
_atom_site_fract_z
Hg1 0.750 0.250 0.500
Zn1 0.000 0.000 0.000
Sn1 0.599 0.599 0.803
Sn2 0.401 0.401 0.197
Hg2 0.250 0.750 0.500
# Space-group type: I4/mmm, No. 139
# Total energy in eV/cell: -8.66
# Spin magnetization in μB per cell: 0.000
# E_form in eV per atom: 0.245

# Zn2SnHg, optimized geometry, DFT PBE-GGA
data_Zn2SnHg
_chemical_formula_sum 'Zn2 Sn1 Hg1'
_space_group_name_H-M_alt 'P 1'
_space_group_IT_number 1
_cell_length_a 3.279
_cell_length_b 3.279
_cell_length_c 7.809
_cell_angle_alpha 90.00
_cell_angle_beta 90.00
_cell_angle_gamma 90.00
loop_
_space_group_symop_operation_xyz
'x,y,z'
loop_
_atom_site_label
_atom_site_fract_x
_atom_site_fract_y
_atom_site_fract_z
Zn1 0.000 0.000 0.761
Sn1 0.500 0.500 0.500
Zn2 0.000 0.000 0.239
Hg1 0.500 0.500 0.000
# Space-group type: P4/mmm, No. 123
# Total energy in eV/cell: -6.30
# Spin magnetization in μB per cell: 0.000
# E_form in eV per atom: 0.138

# Zn5Sn3Hg12, optimized geometry, DFT PBE-GGA
data_Zn5Sn3Hg12
_chemical_formula_sum 'Zn20 Sn12 Hg48'
_space_group_name_H-M_alt 'P 1'
_space_group_IT_number 1
_cell_length_a 14.342
_cell_length_b 14.342
_cell_length_c 14.342
_cell_angle_alpha 109.47
_cell_angle_beta 109.47
_cell_angle_gamma 109.47
loop_
_space_group_symop_operation_xyz
'x,y,z'
loop_
_atom_site_label
_atom_site_fract_x
_atom_site_fract_y
_atom_site_fract_z
Zn1 0.250 0.875 0.125
Hg1 0.722 0.601 0.175
Sn1 0.250 0.625 0.875
Hg2 0.121 0.399 0.075
Zn2 0.500 0.000 0.500
Hg3 0.175 0.101 0.722
Zn3 0.250 0.375 0.625
Sn2 0.250 0.125 0.375
Hg4 0.047 0.621 0.722
Hg5 0.222 0.675 0.101
Hg6 0.621 0.047 0.222
Zn4 0.750 0.625 0.375
Zn5 0.625 0.750 0.875
Zn6 0.625 0.875 0.250
Hg7 0.278 0.879 0.953
Hg8 0.425 0.379 0.601
Sn3 0.375 0.625 0.250
Hg9 0.453 0.675 0.075
Hg10 0.101 0.175 0.222
Hg11 0.675 0.453 0.575
Zn7 0.875 0.250 0.625
Hg12 0.379 0.425 0.101
Hg13 0.222 0.547 0.621
Hg14 0.722 0.121 0.047
Zn8 0.500 0.500 0.500
Zn9 0.750 0.125 0.875
Zn10 0.125 0.375 0.250
Hg15 0.379 0.953 0.778
Hg16 0.575 0.953 0.675
Sn4 0.625 0.375 0.750
Hg17 0.778 0.453 0.379
Zn11 0.000 0.000 0.000
Zn12 0.125 0.750 0.375
Hg18 0.425 0.047 0.325
Hg19 0.825 0.899 0.278
Hg20 0.075 0.899 0.121
Zn13 0.000 0.500 0.000
Sn5 0.750 0.375 0.125
Zn14 0.500 0.000 0.000
Hg21 0.953 0.575 0.175
Zn15 0.500 0.500 0.000
Hg22 0.778 0.325 0.899
Zn16 0.375 0.125 0.750
Hg23 0.175 0.075 0.953
Sn6 0.875 0.125 0.250
Hg24 0.953 0.379 0.278
Hg25 0.101 0.925 0.379
Hg26 0.075 0.175 0.453
Sn7 0.125 0.875 0.750
Hg27 0.899 0.825 0.778
Hg28 0.925 0.825 0.547
Hg29 0.879 0.278 0.453
Hg30 0.825 0.925 0.047
Sn8 0.375 0.750 0.625
Zn17 0.875 0.625 0.750
Hg31 0.547 0.222 0.121
Sn9 0.750 0.875 0.625
Sn10 0.875 0.750 0.125
Hg32 0.453 0.778 0.879
Hg33 0.121 0.722 0.547
Hg34 0.325 0.778 0.399
Zn18 0.000 0.500 0.500
Zn19 0.000 0.000 0.500
Sn11 0.625 0.250 0.375
Hg35 0.879 0.601 0.925
Hg36 0.399 0.278 0.325
Sn12 0.125 0.250 0.875
Hg37 0.899 0.075 0.621
Hg38 0.601 0.722 0.675
Hg39 0.547 0.325 0.925
Zn20 0.375 0.250 0.125
Hg40 0.278 0.399 0.825
Hg41 0.047 0.425 0.825
Hg42 0.399 0.121 0.575
Hg43 0.325 0.547 0.425
Hg44 0.575 0.621 0.399
Hg45 0.601 0.879 0.425
Hg46 0.925 0.101 0.879
Hg47 0.675 0.222 0.601
Hg48 0.621 0.575 0.899
# Space-group type: Ia-3d, No. 230
# Total energy in eV/cell: -74.39
# Spin magnetization in μB per cell: 0.000
# E_form in eV per atom: 0.170

# Zn2SnHg, optimized geometry, DFT PBE-GGA
data_Zn2SnHg
_chemical_formula_sum 'Zn2 Sn1 Hg1'
_space_group_name_H-M_alt 'P 1'
_space_group_IT_number 1
_cell_length_a 3.990
_cell_length_b 3.990
_cell_length_c 7.033
_cell_angle_alpha 73.52
_cell_angle_beta 73.52
_cell_angle_gamma 60.00
loop_
_space_group_symop_operation_xyz
'x,y,z'
loop_
_atom_site_label
_atom_site_fract_x
_atom_site_fract_y
_atom_site_fract_z
Sn1 0.499 0.499 0.503
Hg1 0.668 0.668 0.995
Zn1 0.080 0.080 0.760
Zn2 0.253 0.253 0.241
# Space-group type: R3m, No. 160
# Total energy in eV/cell: -6.22
# Spin magnetization in μB per cell: 0.000
# E_form in eV per atom: 0.158

# ZnSn3Hg, optimized geometry, DFT PBE-GGA
data_ZnSn3Hg
_chemical_formula_sum 'Zn1 Sn3 Hg1'
_space_group_name_H-M_alt 'P 1'
_space_group_IT_number 1
_cell_length_a 5.270
_cell_length_b 5.270
_cell_length_c 5.270
_cell_angle_alpha 90.00
_cell_angle_beta 90.00
_cell_angle_gamma 90.00
loop_
_space_group_symop_operation_xyz
'x,y,z'
loop_
_atom_site_label
_atom_site_fract_x
_atom_site_fract_y
_atom_site_fract_z
Zn1 0.000 0.000 0.000
Sn1 0.000 0.500 0.000
Sn2 0.000 0.000 0.500
Sn3 0.500 0.000 0.000
Hg1 0.500 0.500 0.500
# Space-group type: Pm-3m, No. 221
# Total energy in eV/cell: -11.85
# Spin magnetization in μB per cell: 0.000
# E_form in eV per atom: 0.347

# ZnSnHg, optimized geometry, DFT PBE-GGA
data_ZnSnHg
_chemical_formula_sum 'Zn1 Sn1 Hg1'
_space_group_name_H-M_alt 'P 1'
_space_group_IT_number 1
_cell_length_a 3.442
_cell_length_b 3.442
_cell_length_c 6.287
_cell_angle_alpha 105.89
_cell_angle_beta 105.89
_cell_angle_gamma 90.00
loop_
_space_group_symop_operation_xyz
'x,y,z'
loop_
_atom_site_label
_atom_site_fract_x
_atom_site_fract_y
_atom_site_fract_z
Zn1 0.664 0.664 0.327
Hg1 0.016 0.016 0.032
Sn1 0.320 0.320 0.641
# Space-group type: I4mm, No. 107
# Total energy in eV/cell: -5.21
# Spin magnetization in μB per cell: 0.000
# E_form in eV per atom: 0.124

# Zn2SnHg, optimized geometry, DFT PBE-GGA
data_Zn2SnHg
_chemical_formula_sum 'Zn2 Sn1 Hg1'
_space_group_name_H-M_alt 'P 1'
_space_group_IT_number 1
_cell_length_a 4.940
_cell_length_b 4.940
_cell_length_c 4.940
_cell_angle_alpha 60.00
_cell_angle_beta 60.00
_cell_angle_gamma 60.00
loop_
_space_group_symop_operation_xyz
'x,y,z'
loop_
_atom_site_label
_atom_site_fract_x
_atom_site_fract_y
_atom_site_fract_z
Zn1 0.750 0.750 0.750
Sn1 0.000 0.000 0.000
Zn2 0.250 0.250 0.250
Hg1 0.500 0.500 0.500
# Space-group type: Fm-3m, No. 225
# Total energy in eV/cell: -6.15
# Spin magnetization in μB per cell: 0.000
# E_form in eV per atom: 0.175